! PBE-GGA Pm2Pu3Si3, relaxed; values from VASP
! Size of the total moment, μB per atom: 1.971
! Final energy, eV per atom: -8.76
! Space-group type: Immm (71)
&SYSTEM
  ibrav = 0, nat = 8, ntyp = 3
/
ATOMIC_SPECIES
Pu 244.00 Pu.upf
Si 28.09 Si.upf
Pm 145.00 Pm.upf
ATOMIC_POSITIONS crystal
Pu 0.6122 0.6122 0.2243
Pu 0.3878 0.3878 0.7757
Si 0.9084 0.9084 0.8167
Pm 0.2122 0.7122 0.4243
Pm 0.7878 0.2878 0.5757
Pu 0.5000 0.0000 0.0000
Si 0.0916 0.0916 0.1833
Si 0.0000 0.5000 0.0000
CELL_PARAMETERS angstrom
-4.0144 -0.5762 -2.2314
1.7844 -1.8987 -2.7199
-0.5205 -7.8914 7.7752

! PBE-GGA PmPuZnSi, relaxed; values from VASP
! Size of the total moment, μB per atom: 1.508
! Final energy, eV per atom: -6.73
! Space-group type: F-43m (216)
&SYSTEM
  ibrav = 0, nat = 4, ntyp = 4
/
ATOMIC_SPECIES
Zn 65.41 Zn.upf
Pm 145.00 Pm.upf
Pu 244.00 Pu.upf
Si 28.09 Si.upf
ATOMIC_POSITIONS crystal
Zn 0.2500 0.2500 0.2500
Pm 0.5000 0.5000 0.5000
Pu 0.0000 0.0000 0.0000
Si 0.7500 0.7500 0.7500
CELL_PARAMETERS angstrom
5.0612 0.0000 0.0000
2.5306 4.3831 0.0000
2.5306 1.4610 4.1324

! PBE-GGA Pm6Sm8Pu, relaxed; values from VASP
! Size of the total moment, μB per atom: 0.386
! ΔH_f (0 K), eV/f.u.: 3.97
! Final energy, eV per atom: -5.11
! Space-group type: R-3 (148)
&SYSTEM
  ibrav = 0, nat = 15, ntyp = 3
/
ATOMIC_SPECIES
Pm 145.00 Pm.upf
Sm 150.36 Sm.upf
Pu 244.00 Pu.upf
ATOMIC_POSITIONS crystal
Pm 0.9100 0.6324 0.3382
Pm 0.6324 0.3382 0.9100
Sm 0.1629 0.5868 0.8766
Sm 0.4132 0.1234 0.8371
Pu 0.0000 0.0000 0.0000
Pm 0.6618 0.0900 0.3676
Sm 0.7573 0.7573 0.7573
Pm 0.3676 0.6618 0.0900
Sm 0.8371 0.4132 0.1234
Pm 0.3382 0.9100 0.6324
Sm 0.1234 0.8371 0.4132
Sm 0.2427 0.2427 0.2427
Sm 0.8766 0.1629 0.5868
Pm 0.0900 0.3676 0.6618
Sm 0.5868 0.8766 0.1629
CELL_PARAMETERS angstrom
8.0194 0.0703 3.5671
2.3447 7.6693 3.5671
0.0942 0.0703 8.7764

! PBE-GGA Pm6SmPu, relaxed; values from VASP
! Size of the total moment, μB per atom: 0.804
! ΔH_f (0 K), eV/f.u.: 0.60
! Final energy, eV per atom: -5.87
! Space-group type: C2/m (12)
&SYSTEM
  ibrav = 0, nat = 8, ntyp = 3
/
ATOMIC_SPECIES
Pm 145.00 Pm.upf
Pu 244.00 Pu.upf
Sm 150.36 Sm.upf
ATOMIC_POSITIONS crystal
Pm 0.3782 0.8782 0.2436
Pm 0.8782 0.3782 0.2436
Pu 0.0000 0.0000 0.0000
Pm 0.6218 0.1218 0.7564
Pm 0.1218 0.6218 0.7564
Pm 0.2500 0.2501 0.4999
Pm 0.7500 0.7499 0.5001
Sm 0.5000 0.5000 0.0000
CELL_PARAMETERS angstrom
4.8961 -0.0009 1.4779
-0.4444 4.8767 1.4750
-0.5776 -0.6408 10.8105

! PBE-GGA Pm4Sm6Pu, relaxed; values from VASP
! Size of the total moment, μB per atom: 0.543
! ΔH_f (0 K), eV/f.u.: 1.81
! Final energy, eV per atom: -5.44
! Space-group type: Cmcm (63)
&SYSTEM
  ibrav = 0, nat = 22, ntyp = 3
/
ATOMIC_SPECIES
Sm 150.36 Sm.upf
Pm 145.00 Pm.upf
Pu 244.00 Pu.upf
ATOMIC_POSITIONS crystal
Sm 0.7556 0.5113 0.7500
Sm 0.0098 0.0196 0.1615
Pm 0.1299 0.2597 0.0527
Pu 0.6217 0.2433 0.2500
Pm 0.3809 0.7619 0.1408
Pm 0.8701 0.7403 0.5527
Sm 0.9902 0.9804 0.8385
Sm 0.5000 0.0000 0.5000
Sm 0.0098 0.0196 0.3385
Pu 0.3783 0.7567 0.7500
Sm 0.2411 0.4821 0.5820
Pm 0.8701 0.7403 0.9473
Pm 0.6191 0.2381 0.8592
Pm 0.6191 0.2381 0.6408
Pm 0.3809 0.7619 0.3592
Sm 0.2411 0.4821 0.9180
Sm 0.9902 0.9804 0.6615
Sm 0.7589 0.5179 0.0820
Sm 0.5000 0.0000 0.0000
Pm 0.1299 0.2597 0.4473
Sm 0.7589 0.5179 0.4180
Sm 0.2444 0.4887 0.2500
CELL_PARAMETERS angstrom
-2.7128 -0.6090 2.2737
5.3873 -10.6854 0.7291
9.8958 5.9027 13.3879

! PBE-GGA Pm9Sm4Pu, relaxed; values from VASP
! Size of the total moment, μB per atom: 0.414
! ΔH_f (0 K), eV/f.u.: 2.39
! Final energy, eV per atom: -5.26
! Space-group type: P6_3/mmc (194)
&SYSTEM
  ibrav = 0, nat = 28, ntyp = 3
/
ATOMIC_SPECIES
Pu 244.00 Pu.upf
Pm 145.00 Pm.upf
Sm 150.36 Sm.upf
ATOMIC_POSITIONS crystal
Pu 0.2500 0.6667 0.3333
Pm 0.5359 0.2093 0.7907
Pm 0.7500 0.5364 0.4636
Sm 0.7500 0.8860 0.1140
Sm 0.2500 0.1140 0.2280
Pm 0.4641 0.4187 0.2093
Pm 0.9641 0.5813 0.7907
Sm 0.7500 0.2280 0.1140
Pm 0.5359 0.5813 0.7907
Pm 0.0359 0.7907 0.5813
Pm 0.4641 0.7907 0.2093
Pm 0.9641 0.2093 0.4187
Sm 0.5000 0.0000 0.0000
Pm 0.7500 0.5364 0.0729
Pm 0.2500 0.0729 0.5364
Sm 0.2500 0.7720 0.8860
Sm 0.2500 0.1140 0.8860
Pm 0.0359 0.4187 0.2093
Sm 0.7500 0.8860 0.7720
Pm 0.9641 0.2093 0.7907
Pm 0.7500 0.9271 0.4636
Pu 0.7500 0.3333 0.6667
Pm 0.5359 0.2093 0.4187
Pm 0.4641 0.7907 0.5813
Pm 0.2500 0.4636 0.5364
Pm 0.0359 0.7907 0.2093
Pm 0.2500 0.4636 0.9271
Sm 0.0000 0.0000 0.0000
CELL_PARAMETERS angstrom
11.2379 0.0000 0.0000
0.0000 8.5947 -4.9622
0.0000 0.0000 9.9243

! PBE-GGA Pm8Sm5Pu, relaxed; values from VASP
! Size of the total moment, μB per atom: 0.472
! ΔH_f (0 K), eV/f.u.: 3.69
! Final energy, eV per atom: -5.16
! Space-group type: I-4 (82)
&SYSTEM
  ibrav = 0, nat = 14, ntyp = 3
/
ATOMIC_SPECIES
Pm 145.00 Pm.upf
Pu 244.00 Pu.upf
Sm 150.36 Sm.upf
ATOMIC_POSITIONS crystal
Pm 0.5543 0.8869 0.8265
Pu 0.2500 0.5000 0.7500
Sm 0.5000 0.0000 0.5000
Pm 0.7330 0.2611 0.3371
Sm 0.2843 0.1019 0.9719
Pm 0.3326 0.2722 0.4457
Pm 0.1735 0.7278 0.0604
Pm 0.6629 0.3959 0.9240
Sm 0.0281 0.3124 0.1300
Sm 0.8175 0.6876 0.7157
Pm 0.0760 0.7389 0.4719
Pm 0.5281 0.6041 0.2670
Pm 0.9396 0.1131 0.6674
Sm 0.8700 0.8981 0.1825
CELL_PARAMETERS angstrom
8.1430 0.0000 -2.6100
-4.1528 6.8597 -2.9697
0.1626 0.0000 8.5495

! PBE-GGA Pm5Sm4Pu, relaxed; values from VASP
! Size of the total moment, μB per atom: 0.581
! ΔH_f (0 K), eV/f.u.: 2.65
! Final energy, eV per atom: -5.43
! Space-group type: C2/m (12)
&SYSTEM
  ibrav = 0, nat = 10, ntyp = 3
/
ATOMIC_SPECIES
Pm 145.00 Pm.upf
Sm 150.36 Sm.upf
Pu 244.00 Pu.upf
ATOMIC_POSITIONS crystal
Pm 0.5000 0.5000 0.0000
Sm 0.9689 0.7152 0.9377
Pm 0.1568 0.1110 0.3135
Pu 0.5000 0.0000 0.0000
Pm 0.8219 0.2597 0.6438
Sm 0.0311 0.2848 0.0623
Pm 0.1781 0.7403 0.3562
Pm 0.8432 0.8890 0.6865
Sm 0.6760 0.4264 0.3519
Sm 0.3240 0.5736 0.6481
CELL_PARAMETERS angstrom
4.7634 0.0000 -1.3206
-1.2755 7.4219 -4.6007
0.1655 0.1526 9.8479

! PBE-GGA Pm6Sm3Pu, relaxed; values from VASP
! Size of the total moment, μB per atom: 0.615
! ΔH_f (0 K), eV/f.u.: 2.22
! Final energy, eV per atom: -5.48
! Space-group type: P2_1/c (14)
&SYSTEM
  ibrav = 0, nat = 20, ntyp = 3
/
ATOMIC_SPECIES
Sm 150.36 Sm.upf
Pu 244.00 Pu.upf
Pm 145.00 Pm.upf
ATOMIC_POSITIONS crystal
Sm 0.5000 0.5000 0.0000
Pu 0.5000 0.5000 0.5000
Pm 0.5081 0.1652 0.4318
Pm 0.4824 0.8412 0.9344
Sm 0.6294 0.8338 0.2506
Pm 0.9824 0.6588 0.4344
Pm 0.0176 0.3412 0.5656
Pm 0.4919 0.8348 0.5682
Sm 0.3706 0.1662 0.7494
Pm 0.8492 0.0194 0.7575
Sm 0.8706 0.3338 0.2494
Sm 0.0000 0.0000 0.5000
Pm 0.3492 0.4806 0.2575
Pu 0.0000 0.0000 0.0000
Pm 0.5176 0.1588 0.0656
Pm 0.0081 0.3348 0.9318
Pm 0.6508 0.5194 0.7425
Pm 0.1508 0.9806 0.2425
Pm 0.9919 0.6652 0.0682
Sm 0.1294 0.6662 0.7506
CELL_PARAMETERS angstrom
6.2528 0.0000 0.2574
0.0000 9.3720 0.0000
-0.2762 0.0000 11.5561

! PBE-GGA Pm8Sm6Pu, relaxed; values from VASP
! Size of the total moment, μB per atom: 0.380
! ΔH_f (0 K), eV/f.u.: 3.96
! Final energy, eV per atom: -5.11
! Space-group type: R-3 (148)
&SYSTEM
  ibrav = 0, nat = 15, ntyp = 3
/
ATOMIC_SPECIES
Sm 150.36 Sm.upf
Pm 145.00 Pm.upf
Pu 244.00 Pu.upf
ATOMIC_POSITIONS crystal
Sm 0.0887 0.3651 0.6616
Pm 0.8737 0.1652 0.5862
Pu 0.0000 0.0000 0.0000
Sm 0.3384 0.9113 0.6349
Pm 0.7566 0.7566 0.7566
Sm 0.6616 0.0887 0.3651
Sm 0.3651 0.6616 0.0887
Sm 0.9113 0.6349 0.3384
Pm 0.1652 0.5862 0.8737
Pm 0.2434 0.2434 0.2434
Pm 0.5862 0.8737 0.1652
Sm 0.6349 0.3384 0.9113
Pm 0.4138 0.1263 0.8348
Pm 0.1263 0.8348 0.4138
Pm 0.8348 0.4138 0.1263
CELL_PARAMETERS angstrom
8.0288 0.0862 3.5942
2.3625 7.6738 3.5942
0.1154 0.0862 8.7958

! PBE-GGA Pm8Sm4Pu, relaxed; values from VASP
! Size of the total moment, μB per atom: 0.545
! ΔH_f (0 K), eV/f.u.: 6.57
! Final energy, eV per atom: -4.97
! Space-group type: R-3m (166)
&SYSTEM
  ibrav = 0, nat = 13, ntyp = 3
/
ATOMIC_SPECIES
Pm 145.00 Pm.upf
Sm 150.36 Sm.upf
Pu 244.00 Pu.upf
ATOMIC_POSITIONS crystal
Pm 0.2422 0.2422 0.7563
Pm 0.7578 0.2437 0.7578
Sm 0.5000 0.0000 0.5000
Sm 0.5000 0.5000 0.0000
Pm 0.2427 0.2427 0.2427
Pm 0.2422 0.7563 0.2422
Pu 0.5000 0.5000 0.5000
Pm 0.7573 0.7573 0.7573
Sm 0.0000 0.0000 0.0000
Sm 0.0000 0.5000 0.5000
Pm 0.7563 0.2422 0.2422
Pm 0.7578 0.7578 0.2437
Pm 0.2437 0.7578 0.7578
CELL_PARAMETERS angstrom
7.6707 -1.1671 1.3411
0.9170 7.7046 1.3411
-1.5332 -1.1671 7.6346

! PBE-GGA Pm5Sm8Pu, relaxed; values from VASP
! Size of the total moment, μB per atom: 0.468
! ΔH_f (0 K), eV/f.u.: 3.06
! Final energy, eV per atom: -5.20
! Space-group type: C2 (5)
&SYSTEM
  ibrav = 0, nat = 14, ntyp = 3
/
ATOMIC_SPECIES
Pu 244.00 Pu.upf
Sm 150.36 Sm.upf
Pm 145.00 Pm.upf
ATOMIC_POSITIONS crystal
Pu 0.1912 0.5000 0.6912
Sm 0.9894 0.5695 0.9504
Pm 0.0808 0.0412 0.3321
Sm 0.3810 0.4305 0.4199
Sm 0.4748 0.6250 0.1769
Pm 0.8278 0.7783 0.6821
Sm 0.0973 0.1764 0.7705
Sm 0.0843 0.7017 0.4461
Sm 0.5519 0.3750 0.8498
Pm 0.5383 0.0000 0.5383
Pm 0.9038 0.2217 0.0496
Sm 0.7444 0.2983 0.3826
Pm 0.2908 0.9588 0.0396
Sm 0.5941 0.8236 0.9209
CELL_PARAMETERS angstrom
-0.7725 -8.4321 1.8263
6.4592 1.7458 5.4959
-6.8854 5.1368 1.1121

! PBE-GGA PmSmPu2, relaxed; values from VASP
! Size of the total moment, μB per atom: 3.132
! ΔH_f (0 K), eV/f.u.: 0.86
! Final energy, eV per atom: -9.32
! Space-group type: P4/mmm (123)
&SYSTEM
  ibrav = 0, nat = 4, ntyp = 3
/
ATOMIC_SPECIES
Pu 244.00 Pu.upf
Sm 150.36 Sm.upf
Pm 145.00 Pm.upf
ATOMIC_POSITIONS crystal
Pu 0.0000 0.5000 0.0000
Sm 0.5000 0.5000 0.5000
Pu 0.0000 0.0000 0.5000
Pm 0.5000 0.0000 0.0000
CELL_PARAMETERS angstrom
-4.8234 1.2319 0.9600
-1.2771 -1.5159 -4.4712
-0.7994 -4.4956 1.7525

! PBE-GGA Pm12Sm3Pu, relaxed; values from VASP
! Size of the total moment, μB per atom: 0.392
! ΔH_f (0 K), eV/f.u.: 0.69
! Final energy, eV per atom: -5.30
! Space-group type: P4/mmm (123)
&SYSTEM
  ibrav = 0, nat = 16, ntyp = 3
/
ATOMIC_SPECIES
Pm 145.00 Pm.upf
Pu 244.00 Pu.upf
Sm 150.36 Sm.upf
ATOMIC_POSITIONS crystal
Pm 0.5000 0.5000 0.7516
Pm 0.0000 0.5000 0.1212
Pm 0.5000 0.0000 0.1212
Pm 0.5000 0.0000 0.6262
Pm 0.5000 0.5000 0.0000
Pm 0.5000 0.0000 0.3738
Pu 0.0000 0.0000 0.0000
Pm 0.0000 0.5000 0.6262
Pm 0.0000 0.5000 0.8788
Pm 0.5000 0.5000 0.2484
Sm 0.0000 0.0000 0.2483
Pm 0.0000 0.5000 0.3738
Pm 0.5000 0.5000 0.5000
Sm 0.0000 0.0000 0.5000
Sm 0.0000 0.0000 0.7517
Pm 0.5000 0.0000 0.8788
CELL_PARAMETERS angstrom
-3.9174 -2.4583 -2.2387
3.2252 -1.9688 -3.4818
3.2272 -16.2137 12.1571

! PBE-GGA Pm4Sm8Pu, relaxed; values from VASP
! Size of the total moment, μB per atom: 0.551
! ΔH_f (0 K), eV/f.u.: 6.67
! Final energy, eV per atom: -4.96
! Space-group type: R-3m (166)
&SYSTEM
  ibrav = 0, nat = 13, ntyp = 3
/
ATOMIC_SPECIES
Pm 145.00 Pm.upf
Sm 150.36 Sm.upf
Pu 244.00 Pu.upf
ATOMIC_POSITIONS crystal
Pm 0.0000 0.0000 0.0000
Sm 0.2428 0.2428 0.2428
Sm 0.2439 0.7578 0.7578
Pm 0.0000 0.5000 0.5000
Pm 0.5000 0.5000 0.0000
Sm 0.2422 0.2422 0.7561
Sm 0.7561 0.2422 0.2422
Sm 0.7578 0.2439 0.7578
Pu 0.5000 0.5000 0.5000
Sm 0.2422 0.7561 0.2422
Pm 0.5000 0.0000 0.5000
Sm 0.7578 0.7578 0.2439
Sm 0.7572 0.7572 0.7572
CELL_PARAMETERS angstrom
-6.6761 3.3024 2.5034
-3.9065 -6.5658 -1.8367
1.3543 -2.7944 7.2181

! PBE-GGA PmSmPu4, relaxed; values from VASP
! Size of the total moment, μB per atom: 3.775
! ΔH_f (0 K), eV/f.u.: 1.45
! Final energy, eV per atom: -10.89
! Space-group type: F-43m (216)
&SYSTEM
  ibrav = 0, nat = 6, ntyp = 3
/
ATOMIC_SPECIES
Pu 244.00 Pu.upf
Sm 150.36 Sm.upf
Pm 145.00 Pm.upf
ATOMIC_POSITIONS crystal
Pu 0.6250 0.1249 0.6250
Sm 0.0000 0.0000 0.0000
Pu 0.1249 0.6250 0.6250
Pu 0.6250 0.6250 0.1249
Pu 0.6250 0.6250 0.6250
Pm 0.2500 0.2500 0.2500
CELL_PARAMETERS angstrom
-0.5232 5.9381 1.7420
-4.9444 1.8529 3.2692
0.6346 1.5491 5.9805

! PBE-GGA Pm12Sm5Pu, relaxed; values from VASP
! Size of the total moment, μB per atom: 0.334
! ΔH_f (0 K), eV/f.u.: 1.92
! Final energy, eV per atom: -5.17
! Space-group type: C2/m (12)
&SYSTEM
  ibrav = 0, nat = 18, ntyp = 3
/
ATOMIC_SPECIES
Pm 145.00 Pm.upf
Sm 150.36 Sm.upf
Pu 244.00 Pu.upf
ATOMIC_POSITIONS crystal
Pm 0.5295 0.6397 0.4956
Pm 0.8009 0.0000 0.4234
Pm 0.8308 0.6397 0.5044
Pm 0.6994 0.0000 0.9295
Sm 0.6394 0.7213 0.0000
Sm 0.3606 0.2787 0.0000
Pm 0.3257 0.6503 0.9901
Sm 0.1326 0.7348 0.5000
Pm 0.0239 0.6503 0.0099
Pm 0.6743 0.3497 0.0099
Sm 0.5000 0.0000 0.5000
Pm 0.3006 0.0000 0.0705
Pm 0.4705 0.3603 0.5044
Pu 0.0000 0.0000 0.0000
Pm 0.9761 0.3497 0.9901
Pm 0.1991 0.0000 0.5766
Pm 0.1692 0.3603 0.4956
Sm 0.8674 0.2652 0.5000
CELL_PARAMETERS angstrom
12.1556 0.0000 0.0935
6.0778 8.4685 0.0468
0.0957 0.0000 5.9131

! PBE-GGA Pm3Sm6Pu, relaxed; values from VASP
! Size of the total moment, μB per atom: 0.734
! ΔH_f (0 K), eV/f.u.: 2.38
! Final energy, eV per atom: -5.45
! Space-group type: R3 (146)
&SYSTEM
  ibrav = 0, nat = 10, ntyp = 3
/
ATOMIC_SPECIES
Pu 244.00 Pu.upf
Pm 145.00 Pm.upf
Sm 150.36 Sm.upf
ATOMIC_POSITIONS crystal
Pu 0.8993 0.8993 0.3020
Pm 0.6576 0.6576 0.0271
Sm 0.7290 0.0718 0.7982
Sm 0.5826 0.2179 0.2989
Sm 0.9006 0.5826 0.2989
Pm 0.1407 0.1407 0.5779
Sm 0.0718 0.4010 0.7982
Pm 0.3994 0.3994 0.8018
Sm 0.2179 0.9006 0.2989
Sm 0.4010 0.7290 0.7982
CELL_PARAMETERS angstrom
-8.9115 0.7688 -4.3425
-8.2566 -1.7841 5.2448
-5.8938 3.4645 1.3251

! PBE-GGA Pm4Sm3Pu, relaxed; values from VASP
! Size of the total moment, μB per atom: 0.806
! ΔH_f (0 K), eV/f.u.: 1.18
! Final energy, eV per atom: -5.79
! Space-group type: Immm (71)
&SYSTEM
  ibrav = 0, nat = 8, ntyp = 3
/
ATOMIC_SPECIES
Pm 145.00 Pm.upf
Sm 150.36 Sm.upf
Pu 244.00 Pu.upf
ATOMIC_POSITIONS crystal
Pm 0.3689 0.1172 0.7378
Pm 0.6311 0.8828 0.2622
Sm 0.7670 0.7670 0.5340
Sm 0.2330 0.2330 0.4660
Pm 0.3689 0.6206 0.7378
Pu 0.5000 0.0000 0.0000
Pm 0.6311 0.3794 0.2622
Sm 0.0000 0.5000 0.0000
CELL_PARAMETERS angstrom
-1.0832 -2.5091 -2.1806
3.1518 6.6064 -9.1674
4.9221 -4.7242 5.7938

! PBE-GGA Pm3Sm4Pu, relaxed; values from VASP
! Size of the total moment, μB per atom: 0.804
! ΔH_f (0 K), eV/f.u.: 1.18
! Final energy, eV per atom: -5.79
! Space-group type: Immm (71)
&SYSTEM
  ibrav = 0, nat = 8, ntyp = 3
/
ATOMIC_SPECIES
Pm 145.00 Pm.upf
Pu 244.00 Pu.upf
Sm 150.36 Sm.upf
ATOMIC_POSITIONS crystal
Pm 0.2338 0.2337 0.4675
Pm 0.7662 0.7663 0.5325
Pu 0.5000 0.0000 0.0000
Sm 0.3686 0.6207 0.7373
Sm 0.3686 0.1164 0.7373
Sm 0.6314 0.8836 0.2627
Sm 0.6314 0.3793 0.2627
Pm 0.0000 0.5000 0.0000
CELL_PARAMETERS angstrom
-0.8362 -3.3353 -0.6096
9.9679 -1.3952 -6.0403
-1.4941 0.5946 8.7992